Here is a relaxed structure of AlRhCl2 from Alexandria. Energies are from PBE-GGA.

Lattice parameters (Å, degrees): 6.6633 6.6634 3.4371 104.74 104.74 135.62
Each line ends with the local moment (μB).
Atoms (fractional coordinates):
Rh1 0.2500 0.7500 0.5000  -0.44
Al1 0.7500 0.2500 0.5000  0.00
Cl1 0.5978 0.4022 0.0000  -0.05
Cl2 0.9022 0.0978 0.0000  -0.05

Summary:
Total magnetic moment (μB per atom): 0.142
Polymorph energy (0 for the lowest one) (meV per atom): 220
VASP energy (eV for the cell shown): -16.28
Formation energy (no corrections) (eV/atom): -0.3741



Here is a relaxed structure of NiRuS from Alexandria. Energies are from PBE-GGA.

Lattice parameters (Å, degrees): 4.3083 3.0160 13.2701 90.00 105.65 90.00
Atoms (fractional coordinates):
Ni1 0.3364 0.5000 0.6748
Ru1 0.9011 0.5000 0.0197
S1 0.8153 0.5000 0.6396
S2 0.3364 0.0000 0.4477
Ni2 0.9301 0.5000 0.8057
S3 0.3364 0.5000 0.9477
Ru2 0.4836 0.5000 0.3431
S4 0.8153 0.0000 0.1396
Ni3 0.3364 0.0000 0.1748
Ni4 0.9301 0.0000 0.3057
Ru3 0.4836 0.0000 0.8431
Ru4 0.9011 0.0000 0.5197

Summary:
Total magnetic moment (μB per atom): 0.000
Polymorph energy (0 for the lowest one) (meV per atom): 101
VASP energy (eV for the cell shown): -77.31
Formation energy (no corrections) (eV/atom): -0.0473



Here is a relaxed structure of LaV2CdSi from Alexandria. Energies are from PBE-GGA.

Lattice parameters (Å, degrees): 4.7451 4.8852 4.7451 90.00 90.00 90.00
Each line ends with the local moment (μB).
Atoms (fractional coordinates):
Cd1 0.0000 0.5000 0.0000  -0.03
V1 0.5000 0.0000 0.0000  1.16
La1 0.5000 0.5000 0.5000  0.07
Si1 0.0000 0.0000 0.0000  -0.04
V2 0.0000 0.0000 0.5000  1.31

Summary:
Total magnetic moment (μB per atom): 0.576
VASP energy (eV for the cell shown): -27.18
Formation energy (no corrections) (eV/atom): 0.4642



Here is a relaxed structure of MgSc from Alexandria. Energies are from PBE-GGA.

Lattice parameters (Å, degrees): 5.7787 5.1574 6.3439 90.00 90.00 90.00
Each line ends with the local moment (μB).
Atoms (fractional coordinates):
Sc1 0.1133 0.2500 0.1289  0.35
Mg1 0.5858 0.2500 0.8732  0.01
Mg2 0.9142 0.7500 0.3732  0.01
Sc2 0.6133 0.2500 0.3711  0.35
Mg3 0.0858 0.2500 0.6268  0.01
Sc3 0.8867 0.7500 0.8711  0.35
Sc4 0.3867 0.7500 0.6289  0.35
Mg4 0.4142 0.7500 0.1268  0.01

Summary:
Total magnetic moment (μB per atom): 0.331
VASP energy (eV for the cell shown): -31.43
E_form (eV per atom): 0.0345



Here is a relaxed structure of CdAuOF2 from Alexandria. Energies are from PBE-GGA.

Lattice parameters (Å, degrees): 4.2948 4.2948 4.3134 90.00 90.00 90.00
Atoms (fractional coordinates):
F1 0.5000 0.0000 0.0000
Cd1 0.0000 0.0000 0.0000
Au1 0.5000 0.5000 0.5000
F2 0.0000 0.5000 0.0000
O1 0.0000 0.0000 0.5000

Summary:
Total magnetic moment (μB per atom): 0.000
Polymorph energy (0 for the lowest one) (meV per atom): 0
VASP energy (eV for the cell shown): -15.70
Formation energy (no corrections) (eV/atom): -0.5606



Here is a relaxed structure of BeCdRe2Ge from Alexandria. Energies are from PBE-GGA.

Lattice parameters (Å, degrees): 4.9510 4.9510 4.0873 90.00 90.00 90.00
Each line ends with the local moment (μB).
Atoms (fractional coordinates):
Re1 0.0000 0.5000 0.0000  1.26
Cd1 0.0000 0.0000 0.0000  -0.01
Ge1 0.5000 0.5000 0.5000  -0.06
Re2 0.5000 0.0000 0.0000  1.26
Be1 0.0000 0.0000 0.5000  -0.06

Summary:
Total magnetic moment (μB per atom): 0.533
VASP energy (eV for the cell shown): -22.36
E_form (eV per atom): 2.3585



Here is a relaxed structure of Ac7Tb2Dy2 from Alexandria. Energies are from PBE-GGA.

Lattice parameters (Å, degrees): 6.7163 8.4743 8.4743 77.19 83.30 83.30
Atoms (fractional coordinates):
Ac1 0.7494 0.4315 0.0848
Ac2 0.2630 0.4538 0.4538
Tb1 0.7153 0.7980 0.7980
Ac3 0.2506 0.5685 0.9152
Ac4 0.7370 0.5462 0.5462
Ac5 0.7494 0.0848 0.4315
Dy1 0.5000 0.1729 0.8271
Dy2 0.5000 0.8271 0.1729
Ac6 0.0000 0.0000 0.0000
Ac7 0.2506 0.9152 0.5685
Tb2 0.2847 0.2020 0.2020

Summary:
Total magnetic moment (μB per atom): 0.000
VASP energy (eV for the cell shown): -44.35
E_form (eV per atom): 0.2614



Here is a relaxed structure of Sr12In2Sn5 from Alexandria. Energies are from PBE-GGA.

Lattice parameters (Å, degrees): 8.2123 10.2717 11.3690 106.99 90.00 113.56
Atoms (fractional coordinates):
Sr1 0.4419 0.3652 0.1089
Sr2 0.5964 0.6982 0.4545
Sr3 0.4036 0.3018 0.5455
Sn1 0.0000 0.0000 0.5000
Sn2 0.3268 0.6536 0.1622
Sr4 0.1018 0.6982 0.4545
Sr5 0.9233 0.3652 0.1089
Sr6 0.4914 0.9827 0.8008
In1 0.1652 0.0000 0.0000
Sr7 0.5581 0.6348 0.8911
Sr8 0.9102 0.8204 0.2045
Sr9 0.8982 0.3018 0.5455
Sn3 0.3012 0.6025 0.6516
Sn4 0.6732 0.3464 0.8378
Sr10 0.0898 0.1796 0.7955
In2 0.8348 0.0000 0.0000
Sn5 0.6988 0.3975 0.3484
Sr11 0.5086 0.0173 0.1992
Sr12 0.0767 0.6348 0.8911

Summary:
Total magnetic moment (μB per atom): 0.000
VASP energy (eV for the cell shown): -54.04
E_form (eV per atom): -0.4402



Here is a relaxed structure of NaPaI4 from Alexandria. Energies are from PBE-GGA.

Lattice parameters (Å, degrees): 8.4097 8.4097 7.6430 123.38 123.38 90.00
Each line ends with the local moment (μB).
Atoms (fractional coordinates):
I1 0.1241 0.1204 0.6810  -0.02
I2 0.8796 0.4431 0.3190  -0.02
Na1 0.7500 0.2500 0.5000  0.00
I3 0.5569 0.5606 0.6810  -0.02
Pa1 0.5000 0.5000 0.0000  1.83
I4 0.4394 0.8759 0.3190  -0.02

Summary:
Total magnetic moment (μB per atom): 0.333
Polymorph energy (0 for the lowest one) (meV per atom): 184
VASP energy (eV for the cell shown): -21.76
Formation energy (no corrections) (eV/atom): -0.7912



Here is a relaxed structure of BaTc2Ag from Alexandria. Energies are from PBE-GGA.

Lattice parameters (Å, degrees): 4.5545 4.5545 10.6251 77.62 77.62 90.00
Atoms (fractional coordinates):
Ag1 0.2500 0.7500 0.5000
Tc1 0.8750 0.6883 0.7500
Tc2 0.3750 0.5617 0.7500
Ag2 0.5000 0.5000 0.0000
Tc3 0.3117 0.6250 0.2500
Tc4 0.4383 0.1250 0.2500
Ba1 0.7500 0.2500 0.5000
Ba2 0.0000 0.0000 0.0000

Summary:
Total magnetic moment (μB per atom): 0.000
Polymorph energy (0 for the lowest one) (meV per atom): 518
VASP energy (eV for the cell shown): -43.44
E_form (eV per atom): 0.9466



Here is a relaxed structure of Na2NCl from Alexandria. Energies are from PBE-GGA.

Lattice parameters (Å, degrees): 6.8133 6.8133 6.0941 56.01 56.01 90.00
Each line ends with the local moment (μB).
Atoms (fractional coordinates):
Cl1 0.0000 0.0000 0.0000  0.03
N1 0.5000 0.5000 0.0000  1.25
Na1 0.1558 0.6250 0.2500  0.00
Na2 0.3750 0.4058 0.7500  0.01
Cl2 0.7500 0.2500 0.5000  0.03
Na3 0.8750 0.8442 0.7500  0.00
Na4 0.5942 0.1250 0.2500  0.00
N2 0.2500 0.7500 0.5000  1.25

Summary:
Total magnetic moment (μB per atom): 0.500
Polymorph energy (0 for the lowest one) (meV per atom): 0
VASP energy (eV for the cell shown): -26.48
Formation energy (no corrections) (eV/atom): -0.1071



Here is a relaxed structure of Tl4ZnF5 from Alexandria. Energies are from PBE-GGA.

Lattice parameters (Å, degrees): 4.2627 7.2308 7.2308 85.02 72.86 72.86
Atoms (fractional coordinates):
F1 0.8429 0.3007 0.0156
Zn1 0.0011 0.0000 0.0000
Tl1 0.7895 0.7800 0.6430
F2 0.1592 0.6993 0.9844
F3 0.8585 0.9844 0.3007
Tl2 0.5695 0.6430 0.2200
F4 0.1436 0.0156 0.6993
Tl3 0.2125 0.2200 0.3570
F5 0.5011 0.0000 0.0000
Tl4 0.4325 0.3570 0.7800

Summary:
Total magnetic moment (μB per atom): 0.000
VASP energy (eV for the cell shown): -36.79
Formation energy (no corrections) (eV/atom): -1.6697



Here is a relaxed structure of Tm2TlZn from Alexandria. Energies are from PBE-GGA.

Lattice parameters (Å, degrees): 3.6265 3.6265 9.3922 78.87 78.87 60.00
Atoms (fractional coordinates):
Tm1 0.7438 0.7438 0.7686
Zn1 0.0000 0.0000 0.0000
Tl1 0.5000 0.5000 0.5000
Tm2 0.2562 0.2562 0.2314

Summary:
Total magnetic moment (μB per atom): 0.000
VASP energy (eV for the cell shown): -13.36
E_form (eV per atom): -0.1949



Here is a relaxed structure of Hf3TcCl from Alexandria. Energies are from PBE-GGA.

Lattice parameters (Å, degrees): 4.6510 4.6510 4.6510 90.00 90.00 90.00
Each line ends with the local moment (μB).
Atoms (fractional coordinates):
Hf1 0.5000 0.0000 0.0000  -0.07
Hf2 0.0000 0.5000 0.0000  -0.04
Hf3 0.0000 0.0000 0.5000  -0.06
Cl1 0.0000 0.0000 0.0000  0.00
Tc1 0.5000 0.5000 0.5000  0.71

Summary:
Total magnetic moment (μB per atom): 0.116
Polymorph energy (0 for the lowest one) (meV per atom): 0
VASP energy (eV for the cell shown): -40.25
Formation energy (no corrections) (eV/atom): 0.3636



Here is a relaxed structure of NdAgHg from Alexandria. Energies are from PBE-GGA.

Lattice parameters (Å, degrees): 4.9476 6.0628 6.0507 69.52 65.87 65.92
Atoms (fractional coordinates):
Nd1 0.5035 0.2458 0.7472
Ag1 0.1630 0.8330 0.8410
Hg1 0.8289 0.6664 0.6759
Nd2 0.4965 0.7542 0.2528
Ag2 0.8370 0.1670 0.1590
Hg2 0.1711 0.3336 0.3241

Summary:
Total magnetic moment (μB per atom): 0.000
VASP energy (eV for the cell shown): -18.02
E_form (eV per atom): -0.3631



Here is a relaxed structure of Ni2Sn2Hg from Alexandria. Energies are from PBE-GGA.

Lattice parameters (Å, degrees): 3.5161 3.5161 8.9284 78.64 78.64 90.00
Atoms (fractional coordinates):
Hg1 0.0000 0.0000 0.0000
Sn1 0.6376 0.6376 0.7249
Ni1 0.2500 0.7500 0.5000
Ni2 0.7500 0.2500 0.5000
Sn2 0.3624 0.3624 0.2751

Summary:
Total magnetic moment (μB per atom): 0.000
Polymorph energy (0 for the lowest one) (meV per atom): 35
VASP energy (eV for the cell shown): -19.64
E_form (eV per atom): 0.0462



Here is a relaxed structure of FeCoW2 from Alexandria. Energies are from PBE-GGA.

Lattice parameters (Å, degrees): 8.6977 8.6977 8.6977 17.95 17.95 17.95
Each line ends with the local moment (μB).
Atoms (fractional coordinates):
W1 0.0001 0.0001 0.0001  -0.05
Fe1 0.7500 0.7500 0.7500  0.79
W2 0.4999 0.4999 0.4999  -0.05
Co1 0.2500 0.2500 0.2500  -0.10

Summary:
Total magnetic moment (μB per atom): 0.145
Polymorph energy (0 for the lowest one) (meV per atom): 244
VASP energy (eV for the cell shown): -40.10
E_form (eV per atom): 0.3428



Here is a relaxed structure of Ce2PtAu from Alexandria. Energies are from PBE-GGA.

Lattice parameters (Å, degrees): 4.1260 4.1260 7.6474 74.35 74.35 60.00
Each line ends with the local moment (μB).
Atoms (fractional coordinates):
Pt1 0.0000 0.0000 0.0000  -0.03
Ce1 0.7434 0.7434 0.7697  0.75
Ce2 0.2566 0.2566 0.2303  0.75
Au1 0.5000 0.5000 0.5000  0.01

Summary:
Total magnetic moment (μB per atom): 0.435
VASP energy (eV for the cell shown): -24.34
E_form (eV per atom): -0.7878



Here is a relaxed structure of PIrPb2 from Alexandria. Energies are from PBE-GGA.

Lattice parameters (Å, degrees): 7.1511 7.1511 7.1511 150.51 146.37 45.32
Atoms (fractional coordinates):
Ir1 0.4220 0.4220 0.0000
Pb1 0.0184 0.0184 0.0000
Pb2 0.7392 0.2392 0.5000
P1 0.3204 0.8204 0.5000

Summary:
Total magnetic moment (μB per atom): 0.000
VASP energy (eV for the cell shown): -21.44
E_form (eV per atom): 0.0614



Here is a relaxed structure of Tb2HPb from Alexandria. Energies are from PBE-GGA.

Lattice parameters (Å, degrees): 3.5796 3.5796 8.3412 77.61 77.61 60.00
Atoms (fractional coordinates):
Tb1 0.7236 0.7236 0.8291
Tb2 0.2764 0.2764 0.1709
H1 0.0000 0.0000 0.0000
Pb1 0.5000 0.5000 0.5000

Summary:
Total magnetic moment (μB per atom): 0.000
Polymorph energy (0 for the lowest one) (meV per atom): 203
VASP energy (eV for the cell shown): -17.77



Here is a relaxed structure of ErIrPt from Alexandria. Energies are from PBE-GGA.

Lattice parameters (Å, degrees): 5.3814 5.3814 5.3814 89.59 120.35 120.13
Atoms (fractional coordinates):
Pt1 0.5000 0.5000 0.5000
Ir1 0.0000 0.5000 0.5000
Er1 0.2500 0.1233 0.8733
Er2 0.7500 0.8767 0.1267
Pt2 0.0000 0.5000 0.0000
Ir2 0.5000 0.0000 0.5000

Summary:
Total magnetic moment (μB per atom): 0.000
Polymorph energy (0 for the lowest one) (meV per atom): 0
VASP energy (eV for the cell shown): -44.55
E_form (eV per atom): -0.9373



Here is a relaxed structure of SmCuAg from Alexandria. Energies are from PBE-GGA.

Lattice parameters (Å, degrees): 4.6242 4.6242 4.6242 60.00 60.00 60.00
Atoms (fractional coordinates):
Sm1 0.0000 0.0000 0.0000
Ag1 0.5000 0.5000 0.5000
Cu1 0.2500 0.2500 0.2500

Summary:
Total magnetic moment (μB per atom): 0.000
Polymorph energy (0 for the lowest one) (meV per atom): 177
VASP energy (eV for the cell shown): -11.90
E_form (eV per atom): -0.0767



Here is a relaxed structure of NaErSc4S8 from Alexandria. Energies are from PBE-GGA.

Lattice parameters (Å, degrees): 7.6885 7.6885 7.8068 60.50 60.50 60.00
Atoms (fractional coordinates):
Sc1 0.0052 0.0052 0.5062
S1 0.2450 0.7849 0.7251
S2 0.2450 0.2450 0.7251
Er1 0.0035 0.0035 0.9894
S3 0.2361 0.2361 0.2918
S4 0.7520 0.7520 0.2638
S5 0.7849 0.2450 0.7251
S6 0.2322 0.7520 0.2638
Sc2 0.4833 0.0052 0.5062
S7 0.7577 0.7577 0.7270
Sc3 0.6265 0.6265 0.1204
Sc4 0.0052 0.4833 0.5062
S8 0.7520 0.2322 0.2638
Na1 0.3714 0.3714 0.8859

Summary:
Total magnetic moment (μB per atom): 0.000
VASP energy (eV for the cell shown): -89.77
Formation energy (no corrections) (eV/atom): -1.8248



Here is a relaxed structure of Zn2GaCuTe4 from Alexandria. Energies are from PBE-GGA.

Lattice parameters (Å, degrees): 7.5068 7.5068 7.5068 131.71 131.71 70.69
Atoms (fractional coordinates):
Ga1 0.5000 0.5000 0.0000
Cu1 0.0000 0.0000 0.0000
Te1 0.6330 0.1218 0.0000
Zn1 0.2500 0.7500 0.5000
Te2 0.1218 0.6330 0.0000
Te3 0.3670 0.3670 0.4888
Te4 0.8782 0.8782 0.5112
Zn2 0.7500 0.2500 0.5000

Summary:
Total magnetic moment (μB per atom): 0.000
VASP energy (eV for the cell shown): -25.21
Formation energy (no corrections) (eV/atom): -0.3716



Here is a relaxed structure of NaNbS6 from Alexandria. Energies are from PBE-GGA.

Lattice parameters (Å, degrees): 11.8689 10.9242 10.9242 141.70 95.30 95.30
Atoms (fractional coordinates):
S1 0.8983 0.2162 0.9236
S2 0.0967 0.8917 0.8570
S3 0.1017 0.7838 0.0764
S4 0.9033 0.1083 0.1430
S5 0.2842 0.0237 0.7421
Na1 0.3549 0.5021 0.9970
S6 0.0311 0.4885 0.1388
S7 0.3401 0.5614 0.5275
S8 0.4751 0.3909 0.7134
Na2 0.1451 0.0030 0.4979
S9 0.7158 0.9763 0.2579
S10 0.8401 0.5275 0.5614
S11 0.3983 0.9236 0.2162
S12 0.7842 0.7421 0.0237
Nb1 0.9463 0.7926 0.9193
Nb2 0.4463 0.9193 0.7926
S13 0.5311 0.1388 0.4885
Nb3 0.5537 0.0807 0.2074
S14 0.5249 0.6091 0.2866
S15 0.9689 0.5115 0.8612
S16 0.9751 0.7134 0.3909
S17 0.2158 0.2579 0.9763
S18 0.1599 0.4725 0.4386
Na3 0.6451 0.4979 0.0030
S19 0.6017 0.0764 0.7838
Na4 0.8549 0.9970 0.5021
S20 0.4033 0.1430 0.1083
S21 0.4689 0.8612 0.5115
S22 0.0249 0.2866 0.6091
S23 0.6599 0.4386 0.4725
Nb4 0.0537 0.2074 0.0807
S24 0.5967 0.8570 0.8917

Summary:
Total magnetic moment (μB per atom): 0.000
Polymorph energy (0 for the lowest one) (meV per atom): 209
VASP energy (eV for the cell shown): -158.44
Formation energy (no corrections) (eV/atom): -0.4319